A geometry-optimized AcCd2InPd2 structure, computed with PBE.

Computed properties:
Energy relative to the elements, eV per atom: -0.31
Total DFT energy (no corrections), eV/atom: -3.484

Cell: 5.375 5.375 11.077 Å, 90.00 90.00 90.00°
Space group I4/mmm (No. 139)
One atom of each set of equivalent atoms:
1 Ac 0.000 0.000 0.000 x2
2 Cd 0.000 0.500 0.250 x4
3 In 0.000 0.000 0.500 x2
4 Pd 0.000 0.000 0.264 x4



A geometry-optimized AcCdIn2Pd2 structure, computed with PBE.

Computed properties:
Energy relative to the elements, eV per atom: -0.37
Total DFT energy (no corrections), eV/atom: -3.849

Cell: 5.322 5.322 11.389 Å, 90.00 90.00 90.00°
Space group I4/mmm (No. 139)
One atom of each set of equivalent atoms:
1 Ac 0.000 0.000 0.000 x2
2 Cd 0.000 0.000 0.500 x2
3 In 0.000 0.500 0.250 x4
4 Pd 0.000 0.000 0.266 x4



A geometry-optimized Ac2CdIn4Pd3 structure, computed with PBE.

Computed properties:
Energy relative to the elements, eV per atom: -0.58
Total DFT energy (no corrections), eV/atom: -4.148

Cell: 4.510 4.510 12.215 Å, 90.00 90.00 90.00°
Space group P-4m2 (No. 115)
One atom of each set of equivalent atoms:
1 Ac 0.000 0.500 0.239 x2
2 Cd 0.000 0.000 0.500 x1
3 In 0.000 0.000 0.000 x1
4 In 0.000 0.500 0.638 x2
5 In 0.500 0.500 0.000 x1
6 Pd 0.000 0.500 0.861 x2
7 Pd 0.500 0.500 0.500 x1



A geometry-optimized AcPm2Cd2In2 structure, computed with PBE.

Computed properties:
Energy relative to the elements, eV per atom: -0.30
Total DFT energy (no corrections), eV/atom: -3.291

Cell: 5.0340 5.0340 28.6593 Å, 90.00 90.00 120.00°
Space group R-3m (No. 166, hexagonal axes)
One atom of each set of equivalent atoms:
1 Ac 0.0000 0.0000 0.0000 x3
2 Pm 0.0000 0.0000 0.1319 x6
3 Cd 0.0000 0.0000 0.4171 x6
4 In 0.0000 0.0000 0.2585 x6



A geometry-optimized AcPmCdIn structure, computed with PBE.

Computed properties:
Energy relative to the elements, eV per atom: -0.36
Excess energy over the best structure of this formula in the dataset, meV per atom: 11.8
Total DFT energy (no corrections), eV/atom: -3.491

Cell: 7.961 7.961 7.961 Å, 90.00 90.00 90.00°
Space group F-43m (No. 216)
One atom of each set of equivalent atoms:
1 Ac 0.000 0.000 0.000 x4
2 Pm 0.000 0.000 0.500 x4
3 Cd 0.250 0.250 0.250 x4
4 In 0.250 0.250 0.750 x4



A geometry-optimized AcPmCdIn structure, computed with PBE.

Computed properties:
Energy relative to the elements, eV per atom: -0.37
Excess energy over the best structure of this formula in the dataset, meV per atom: 0.0
Total DFT energy (no corrections), eV/atom: -3.503

Cell: 3.955 3.955 7.991 Å, 90.00 90.00 90.00°
Space group P4mm (No. 99)
One atom of each set of equivalent atoms:
1 Ac 0.000 0.000 0.000 x1
2 Pm 0.000 0.000 0.497 x1
3 Cd 0.500 0.500 0.278 x1
4 In 0.500 0.500 0.725 x1



A geometry-optimized AcCdInPt structure, computed with PBE.

Computed properties:
Energy relative to the elements, eV per atom: -0.49
Total DFT energy (no corrections), eV/atom: -3.936

Cell: 7.387 7.387 7.387 Å, 90.00 90.00 90.00°
Space group F-43m (No. 216)
One atom of each set of equivalent atoms:
1 Ac 0.000 0.000 0.000 x4
2 Cd 0.250 0.250 0.750 x4
3 In 0.000 0.000 0.500 x4
4 Pt 0.250 0.250 0.250 x4



A geometry-optimized AcCdInPt2 structure, computed with PBE.

Computed properties:
Energy relative to the elements, eV per atom: -0.67
Total DFT energy (no corrections), eV/atom: -4.640

Cell: 5.953 13.599 6.021 Å, 90.00 90.00 90.00°
Space group Cmme (No. 67)
One atom of each set of equivalent atoms:
1 Ac 0.000 0.250 0.235 x4
2 Cd 0.000 0.000 0.000 x4
3 In 0.250 0.000 0.500 x4
4 Pt 0.000 0.153 0.711 x8



A geometry-optimized Ac2Cd2InRh5 structure, computed with PBE.

Computed properties:
Energy relative to the elements, eV per atom: -0.29
Total DFT energy (no corrections), eV/atom: -5.248

Cell: 10.449 10.449 3.799 Å, 90.00 90.00 90.00°
Space group P4/mbm (No. 127)
One atom of each set of equivalent atoms:
1 Ac 0.172 0.328 0.000 x4
2 Cd 0.128 0.628 0.000 x4
3 In 0.000 0.000 0.000 x2
4 Rh 0.000 0.500 0.500 x2
5 Rh 0.043 0.801 0.500 x8



A geometry-optimized Ac2CdIn4Rh3 structure, computed with PBE.

Computed properties:
Energy relative to the elements, eV per atom: -0.46
Total DFT energy (no corrections), eV/atom: -4.671

Cell: 4.408 4.408 12.381 Å, 90.00 90.00 90.00°
Space group P-4m2 (No. 115)
One atom of each set of equivalent atoms:
1 Ac 0.000 0.500 0.231 x2
2 Cd 0.000 0.000 0.500 x1
3 In 0.000 0.000 0.000 x1
4 In 0.000 0.500 0.640 x2
5 In 0.500 0.500 0.000 x1
6 Rh 0.000 0.500 0.860 x2
7 Rh 0.500 0.500 0.500 x1



A geometry-optimized AcCdInRh3 structure, computed with PBE.

Computed properties:
Energy relative to the elements, eV per atom: -0.13
Total DFT energy (no corrections), eV/atom: -5.097

Cell: 6.349 12.744 6.481 Å, 90.00 90.00 90.00°
Space group Cmcm (No. 63)
One atom of each set of equivalent atoms:
1 Ac 0.000 0.165 0.250 x4
2 Cd 0.000 0.411 0.250 x4
3 In 0.000 0.146 0.750 x4
4 Rh 0.000 0.360 0.750 x4
5 Rh 0.218 0.000 0.000 x8



A geometry-optimized AcCdInRh structure, computed with PBE.

Computed properties:
Energy relative to the elements, eV per atom: -0.25
Total DFT energy (no corrections), eV/atom: -4.027

Cell: 7.318 7.318 7.318 Å, 90.00 90.00 90.00°
Space group F-43m (No. 216)
One atom of each set of equivalent atoms:
1 Ac 0.000 0.000 0.000 x4
2 Cd 0.250 0.250 0.750 x4
3 In 0.000 0.000 0.500 x4
4 Rh 0.250 0.250 0.250 x4